A plane-wave DFT calculation with GGA-PBE was carried out for an optimized crystal structure of SrPtCl3.

Cell lengths 5.020, 5.020, 5.020 Å; angles 90.00, 90.00, 90.00 degrees
Atoms (fractional coordinates):
Pt  0.000  0.000  0.000
Cl  0.000  0.500  0.000
Cl  0.500  0.000  0.000
Sr  0.500  0.500  0.500
Cl  0.000  0.000  0.500

Properties
Formation energy from raw total energies   -1.02 eV/atom
Symmetry   Pm-3m
Energy above the most stable polymorph in this dataset   0 meV per atom

A plane-wave DFT calculation with GGA-PBE was carried out for an optimized crystal structure of Sr3PtCl.

Cell lengths 5.931, 5.931, 5.931 Å; angles 90.00, 90.00, 90.00 degrees
Atoms (fractional coordinates):
Sr  0.000  0.000  0.500
Cl  0.500  0.500  0.500
Sr  0.000  0.500  0.000
Sr  0.500  0.000  0.000
Pt  0.000  0.000  0.000

Properties
Formation energy from raw total energies   -0.80 eV/atom
Symmetry   Pm-3m
Energy above the most stable polymorph in this dataset   0 meV per atom

A plane-wave DFT calculation with GGA-PBE was carried out for an optimized crystal structure of Sr2PtCl2.

Cell lengths 5.495, 5.495, 6.213 Å; angles 63.76, 63.76, 90.00 degrees
Atoms (fractional coordinates):
Cl  0.656  0.656  0.688
Cl  0.344  0.344  0.312
Sr  0.750  0.250  0.500
Sr  0.250  0.750  0.500
Pt  0.000  0.000  0.000

Properties
Formation energy from raw total energies   -1.30 eV/atom
Symmetry   I4/mmm
Energy above the most stable polymorph in this dataset   48 meV per atom

A plane-wave DFT calculation with GGA-PBE was carried out for an optimized crystal structure of SrPt3Cl.

Cell lengths 4.747, 4.747, 4.747 Å; angles 90.00, 90.00, 90.00 degrees
Atoms (fractional coordinates):
Cl  0.000  0.000  0.000
Pt  0.000  0.500  0.000
Pt  0.500  0.000  0.000
Pt  0.000  0.000  0.500
Sr  0.500  0.500  0.500

Properties
Formation energy from raw total energies   0.20 eV/atom
Symmetry   Pm-3m
Energy above the most stable polymorph in this dataset   0 meV per atom

A plane-wave DFT calculation with GGA-PBE was carried out for an optimized crystal structure of Sr2PtCl.

Cell lengths 4.309, 4.309, 8.071 Å; angles 74.40, 74.40, 59.91 degrees
Atoms (fractional coordinates):
Sr  0.509  0.509  0.471
Pt  0.250  0.250  0.250
Cl  0.750  0.750  0.750
Sr  0.991  0.991  0.029

Properties
Formation energy from raw total energies   -1.35 eV/atom
Symmetry   C2/m
Energy above the most stable polymorph in this dataset   0 meV per atom

A plane-wave DFT calculation with GGA-PBE was carried out for an optimized crystal structure of Sr2PtCl.

Cell lengths 4.418, 4.419, 6.085 Å; angles 90.00, 90.00, 90.00 degrees
Atoms (fractional coordinates):
Pt  0.500  0.500  0.875
Sr  0.000  0.000  0.875
Sr  0.500  0.500  0.375
Cl  0.000  0.000  0.375

Properties
Formation energy from raw total energies   -1.30 eV/atom
Symmetry   P4/mmm
Energy above the most stable polymorph in this dataset   49 meV per atom

A plane-wave DFT calculation with GGA-PBE was carried out for an optimized crystal structure of Sr2PtCl.

Cell lengths 3.738, 3.875, 8.274 Å; angles 89.34, 90.00, 90.00 degrees
Atoms (fractional coordinates):
Sr  0.000  0.255  0.538
Pt  0.500  0.750  0.750
Sr  0.000  0.245  0.962
Cl  0.500  0.250  0.250

Properties
Formation energy from raw total energies   -1.29 eV/atom
Symmetry   P2/m
Energy above the most stable polymorph in this dataset   61 meV per atom

A plane-wave DFT calculation with GGA-PBE was carried out for an optimized crystal structure of SrPt3Cl.

Cell lengths 5.336, 5.336, 5.336 Å; angles 90.00, 90.00, 90.00 degrees
Each line ends with the local moment (μB).
Atoms (fractional coordinates):
Cl  0.500  0.500  0.500  0.18
Pt  0.000  0.500  0.000  0.14
Sr  0.000  0.000  0.000  -0.01
Pt  0.000  0.000  0.500  0.22
Pt  0.500  0.000  0.000  0.08

Properties
Formation energy from raw total energies   1.59 eV/atom
Symmetry   Pm-3m
Energy above the most stable polymorph in this dataset   1388 meV per atom

A plane-wave DFT calculation with GGA-PBE was carried out for an optimized crystal structure of Sr2PtCl.

Cell lengths 4.280, 4.280, 8.231 Å; angles 74.93, 74.93, 60.00 degrees
Atoms (fractional coordinates):
Pt  0.667  0.667  0.998
Sr  0.073  0.073  0.781
Sr  0.262  0.262  0.215
Cl  0.498  0.498  0.507

Properties
Formation energy from raw total energies   -1.32 eV/atom
Symmetry   R3m
Energy above the most stable polymorph in this dataset   29 meV per atom

A plane-wave DFT calculation with GGA-PBE was carried out for an optimized crystal structure of Sr2PtCl2.

Cell lengths 8.351, 8.351, 3.607 Å; angles 90.00, 90.00, 90.00 degrees
Atoms (fractional coordinates):
Sr  0.315  0.185  0.500
Sr  0.815  0.315  0.500
Cl  0.376  0.876  0.000
Sr  0.685  0.815  0.500
Sr  0.185  0.685  0.500
Pt  0.000  0.000  0.000
Cl  0.124  0.376  0.000
Pt  0.500  0.500  0.000
Cl  0.624  0.124  0.000
Cl  0.876  0.624  0.000

Properties
Formation energy from raw total energies   -1.35 eV/atom
Symmetry   P4/mbm
Energy above the most stable polymorph in this dataset   0 meV per atom

A plane-wave DFT calculation with GGA-PBE was carried out for an optimized crystal structure of Sr2PtCl.

Cell lengths 6.837, 6.837, 8.304 Å; angles 65.69, 65.69, 90.00 degrees
Atoms (fractional coordinates):
Sr  0.375  0.364  0.750
Cl  0.500  0.500  0.000
Sr  0.875  0.886  0.750
Pt  0.000  0.000  0.000
Pt  0.750  0.250  0.500
Sr  0.636  0.125  0.250
Sr  0.114  0.625  0.250
Cl  0.250  0.750  0.500

Properties
Formation energy from raw total energies   -1.09 eV/atom
Symmetry   I-42d
Energy above the most stable polymorph in this dataset   259 meV per atom

A plane-wave DFT calculation with GGA-PBE was carried out for an optimized crystal structure of SrPtCl4.

Cell lengths 6.127, 6.127, 6.127 Å; angles 111.34, 111.34, 105.80 degrees
Atoms (fractional coordinates):
Cl  0.263  0.265  0.526
Pt  0.500  0.500  0.000
Cl  0.735  0.261  0.998
Sr  0.750  0.250  0.500
Cl  0.739  0.737  0.474
Cl  0.263  0.737  0.002

Properties
Formation energy from raw total energies   -1.41 eV/atom
Symmetry   I-4
Energy above the most stable polymorph in this dataset   0 meV per atom

A plane-wave DFT calculation with GGA-PBE was carried out for an optimized crystal structure of Sr4PtCl.

Cell lengths 7.029, 7.029, 7.029 Å; angles 60.00, 60.00, 60.00 degrees
Atoms (fractional coordinates):
Cl  0.750  0.750  0.750
Pt  0.000  0.000  0.000
Sr  0.374  0.374  0.878
Sr  0.878  0.374  0.374
Sr  0.374  0.878  0.374
Sr  0.374  0.374  0.374

Properties
Formation energy from raw total energies   0.29 eV/atom
Symmetry   F-43m

A plane-wave DFT calculation with GGA-PBE was carried out for an optimized crystal structure of Sr2PtCl.

Cell lengths 7.242, 7.242, 7.242 Å; angles 145.83, 145.83, 49.10 degrees
Atoms (fractional coordinates):
Sr  0.000  0.000  0.000
Cl  0.500  0.500  0.000
Sr  0.250  0.750  0.500
Pt  0.750  0.250  0.500

Properties
Formation energy from raw total energies   -1.00 eV/atom
Symmetry   I-4m2
Energy above the most stable polymorph in this dataset   350 meV per atom

A plane-wave DFT calculation with GGA-PBE was carried out for an optimized crystal structure of Sr2PtCl.

Cell lengths 5.316, 5.316, 5.316 Å; angles 60.00, 60.00, 60.00 degrees
Atoms (fractional coordinates):
Sr  0.000  0.000  0.000
Sr  0.250  0.250  0.250
Cl  0.500  0.500  0.500
Pt  0.750  0.750  0.750

Properties
Formation energy from raw total energies   -0.45 eV/atom
Symmetry   F-43m
Energy above the most stable polymorph in this dataset   893 meV per atom

A plane-wave DFT calculation with GGA-PBE was carried out for an optimized crystal structure of SrPt4Cl.

Cell lengths 5.480, 5.480, 5.480 Å; angles 60.00, 60.00, 60.00 degrees
Atoms (fractional coordinates):
Pt  0.375  0.875  0.375
Sr  0.750  0.750  0.750
Pt  0.875  0.375  0.375
Cl  0.000  0.000  0.000
Pt  0.375  0.375  0.875
Pt  0.375  0.375  0.375

Properties
Formation energy from raw total energies   -0.34 eV/atom
Symmetry   F-43m

A plane-wave DFT calculation with GGA-PBE was carried out for an optimized crystal structure of Sr2PtCl.

Cell lengths 5.344, 5.344, 5.344 Å; angles 60.00, 60.00, 60.00 degrees
Atoms (fractional coordinates):
Sr  0.750  0.750  0.750
Pt  0.500  0.500  0.500
Cl  0.000  0.000  0.000
Sr  0.250  0.250  0.250

Properties
Formation energy from raw total energies   -1.13 eV/atom
Symmetry   Fm-3m
Energy above the most stable polymorph in this dataset   221 meV per atom

A plane-wave DFT calculation with GGA-PBE was carried out for an optimized crystal structure of SrPtCl3.

Cell lengths 5.583, 5.583, 5.583 Å; angles 90.00, 90.00, 90.00 degrees
Each line ends with the local moment (μB).
Atoms (fractional coordinates):
Cl  0.000  0.000  0.500  0.02
Pt  0.500  0.500  0.500  0.84
Cl  0.500  0.000  0.000  0.02
Sr  0.000  0.000  0.000  0.00
Cl  0.000  0.500  0.000  0.05

Properties
Formation energy from raw total energies   -0.47 eV/atom
Symmetry   Pm-3m
Energy above the most stable polymorph in this dataset   559 meV per atom

A plane-wave DFT calculation with GGA-PBE was carried out for an optimized crystal structure of Sr2PtCl8.

Cell lengths 6.306, 6.823, 8.441 Å; angles 89.24, 111.93, 90.00 degrees
Atoms (fractional coordinates):
Sr  0.861  0.527  0.722
Cl  0.763  0.746  0.022
Cl  0.684  0.467  0.369
Cl  0.150  0.028  0.300
Cl  0.259  0.746  0.022
Cl  0.316  0.533  0.631
Cl  0.237  0.254  0.978
Pt  0.000  0.000  0.000
Cl  0.850  0.972  0.700
Sr  0.139  0.473  0.278
Cl  0.741  0.254  0.978

Properties
Formation energy from raw total energies   -1.52 eV/atom
Symmetry   C2/m

A plane-wave DFT calculation with GGA-PBE was carried out for an optimized crystal structure of SrTaPtCl2.

Cell lengths 5.196, 5.994, 5.196 Å; angles 90.00, 90.00, 90.00 degrees
Each line ends with the local moment (μB).
Atoms (fractional coordinates):
Cl  0.500  0.000  0.000  0.03
Cl  0.000  0.000  0.500  0.01
Pt  0.000  0.500  0.000  -0.31
Ta  0.500  0.500  0.500  2.12
Sr  0.000  0.000  0.000  0.00

Properties
Formation energy from raw total energies   0.58 eV/atom
Symmetry   P4/mmm